5
Lattice="-0.0735 1.3045 -6.2706 -6.3353 -0.9363 -0.1205 -0.9411 6.2007 1.3010" Properties=species:S:1:pos:R:3 comment="CsMg3As, optimized geometry, DFT PBE" energy_ev_per_atom=-0.598 e_form_ev_per_atom=1.459 pbc="T T T"
Cs 0.0000 0.0000 0.0000
As -3.6750 3.2845 -2.5450
Mg -3.1677 -0.4681 -0.0603
Mg -0.4706 3.1004 0.6505
Mg -0.0368 0.6523 -3.1353